DFT (PBE-GGA) results for an optimized crystal structure of PmZn3Pd3.

Geometry as CIF:
```
data_PmZn3Pd3
_chemical_formula_sum 'Pm6 Zn18 Pd18'
_symmetry_space_group_name_H-M 'R -3'
_symmetry_Int_Tables_number 148
_symmetry_space_group_name_Hall '-R 3'
_cell_length_a 6.7878
_cell_length_b 6.7878
_cell_length_c 18.9698
_cell_angle_alpha 90.00
_cell_angle_beta 90.00
_cell_angle_gamma 120.00
loop_
_atom_site_label
_atom_site_type_symbol
_atom_site_fract_x
_atom_site_fract_y
_atom_site_fract_z
_atom_site_occupancy
Pm1 Pm 0.0000 0.0000 0.1584 1
Zn1 Zn 0.0447 0.4359 0.3691 1
Pd1 Pd 0.0010 0.2384 0.5659 1
```

Excess energy over the best structure of this formula in the dataset, eV/atom: 0.000
Energy of formation, eV per atom: -0.502


DFT (PBE-GGA) results for an optimized crystal structure of InPt2W.

Geometry as CIF:
```
data_InPt2W
_chemical_formula_sum 'In1 Pt2 W1'
_symmetry_space_group_name_H-M 'P 1 2/m 1'
_symmetry_Int_Tables_number 10
_cell_length_a 2.885
_cell_length_b 4.032
_cell_length_c 5.773
_cell_angle_alpha 90.00
_cell_angle_beta 90.10
_cell_angle_gamma 90.00
loop_
_symmetry_equiv_pos_as_xyz
'x,y,z'
'-x,-y,-z'
'-x,y,-z'
'x,-y,z'
loop_
_atom_site_label
_atom_site_type_symbol
_atom_site_fract_x
_atom_site_fract_y
_atom_site_fract_z
_atom_site_occupancy
In1 In 0.000 0.000 0.000 1
Pt1 Pt 0.499 0.500 0.267 1
W1 W 0.000 0.000 0.500 1
```

Energy of formation, eV per atom: -0.124


DFT (PBE-GGA) results for an optimized crystal structure of K3Nd2YTe6.

Geometry as CIF:
```
data_K3Nd2YTe6
_chemical_formula_sum 'K6 Nd4 Y2 Te12'
_symmetry_space_group_name_H-M 'C 1 2/m 1'
_symmetry_Int_Tables_number 12
_cell_length_a 7.933
_cell_length_b 13.742
_cell_length_c 8.670
_cell_angle_alpha 90.00
_cell_angle_beta 107.78
_cell_angle_gamma 90.00
loop_
_symmetry_equiv_pos_as_xyz
'x,y,z'
'-x,-y,-z'
'-x,y,-z'
'x,-y,z'
'x+1/2,y+1/2,z'
'-x+1/2,-y+1/2,-z'
'-x+1/2,y+1/2,-z'
'x+1/2,-y+1/2,z'
loop_
_atom_site_label
_atom_site_type_symbol
_atom_site_fract_x
_atom_site_fract_y
_atom_site_fract_z
_atom_site_occupancy
K1 K 0.000 0.000 0.000 1
K2 K 0.000 0.331 0.000 1
Nd1 Nd 0.000 0.166 0.500 1
Y1 Y 0.000 0.500 0.500 1
Te1 Te 0.234 0.337 0.712 1
Te2 Te 0.245 0.000 0.713 1
```

Raw formation energy, eV/atom: -1.4144


DFT (PBE-GGA) results for an optimized crystal structure of AcReI2.

Geometry as CIF:
```
data_AcReI2
_chemical_formula_sum 'Ac3 Re3 I6'
_symmetry_space_group_name_H-M 'R -3 m'
_symmetry_Int_Tables_number 166
_symmetry_space_group_name_Hall '-R 3 2"'
_cell_length_a 3.9856
_cell_length_b 3.9856
_cell_length_c 31.0403
_cell_angle_alpha 90.00
_cell_angle_beta 90.00
_cell_angle_gamma 120.00
loop_
_atom_site_label
_atom_site_type_symbol
_atom_site_fract_x
_atom_site_fract_y
_atom_site_fract_z
_atom_site_occupancy
Ac1 Ac 0.0000 0.0000 0.0000 1
Re1 Re 0.0000 0.0000 0.5000 1
I1 I 0.0000 0.0000 0.4139 1
```

Raw formation energy, eV/atom: 0.6665


DFT (PBE-GGA) results for an optimized crystal structure of BaMnAs2Br.

Geometry as CIF:
```
data_BaMnAs2Br
_chemical_formula_sum 'Ba1 Mn1 As2 Br1'
_symmetry_space_group_name_H-M 'P 4/m m m'
_symmetry_Int_Tables_number 123
_symmetry_space_group_name_Hall '-P 4 2'
_cell_length_a 4.747
_cell_length_b 4.747
_cell_length_c 6.014
_cell_angle_alpha 90.00
_cell_angle_beta 90.00
_cell_angle_gamma 90.00
loop_
_atom_site_label
_atom_site_type_symbol
_atom_site_fract_x
_atom_site_fract_y
_atom_site_fract_z
_atom_site_occupancy
Ba1 Ba 0.000 0.000 0.000 1
Mn1 Mn 0.500 0.500 0.500 1
As1 As 0.000 0.500 0.500 1
Br1 Br 0.500 0.500 0.000 1
```

Raw formation energy, eV/atom: -0.6375


DFT (PBE-GGA) results for an optimized crystal structure of Sr2Al.

Geometry as CIF:
```
data_Sr2Al
_chemical_formula_sum 'Sr8 Al4'
_symmetry_space_group_name_H-M 'I 41/a m d'
_symmetry_Int_Tables_number 141
_cell_length_a 3.938
_cell_length_b 3.938
_cell_length_c 30.893
_cell_angle_alpha 90.00
_cell_angle_beta 90.00
_cell_angle_gamma 90.00
loop_
_symmetry_equiv_pos_as_xyz
'x,y,z'
'-x,-y,-z'
'-y+1/4,x+3/4,z+1/4'
'y+1/4,-x+3/4,-z+1/4'
'-x+1/2,-y,z+1/2'
'x+1/2,y,-z+1/2'
'y+1/4,-x+1/4,z+3/4'
'-y+1/4,x+1/4,-z+3/4'
'x,-y,-z'
'-x,y,z'
'-y+1/4,-x+1/4,-z+3/4'
'y+1/4,x+1/4,z+3/4'
'-x+1/2,y,-z+1/2'
'x+1/2,-y,z+1/2'
'y+1/4,x+3/4,-z+1/4'
'-y+1/4,-x+3/4,z+1/4'
'x+1/2,y+1/2,z+1/2'
'-x+1/2,-y+1/2,-z+1/2'
'-y+3/4,x+1/4,z+3/4'
'y+3/4,-x+1/4,-z+3/4'
'-x,-y+1/2,z'
'x,y+1/2,-z'
'y+3/4,-x+3/4,z+1/4'
'-y+3/4,x+3/4,-z+1/4'
'x+1/2,-y+1/2,-z+1/2'
'-x+1/2,y+1/2,z+1/2'
'-y+3/4,-x+3/4,-z+1/4'
'y+3/4,x+3/4,z+1/4'
'-x,y+1/2,-z'
'x,-y+1/2,z'
'y+3/4,x+1/4,-z+3/4'
'-y+3/4,-x+1/4,z+3/4'
loop_
_atom_site_label
_atom_site_type_symbol
_atom_site_fract_x
_atom_site_fract_y
_atom_site_fract_z
_atom_site_occupancy
Sr1 Sr 0.000 0.250 0.312 1
Al1 Al 0.000 0.250 0.875 1
```

Energy of formation, eV per atom: -0.032


DFT (PBE-GGA) results for an optimized crystal structure of PmAgBr.

Geometry as CIF:
```
data_PmAgBr
_chemical_formula_sum 'Pm6 Ag6 Br6'
_symmetry_space_group_name_H-M 'R -3 m'
_symmetry_Int_Tables_number 166
_symmetry_space_group_name_Hall '-R 3 2"'
_cell_length_a 4.3812
_cell_length_b 4.3812
_cell_length_c 34.1320
_cell_angle_alpha 90.00
_cell_angle_beta 90.00
_cell_angle_gamma 120.00
loop_
_atom_site_label
_atom_site_type_symbol
_atom_site_fract_x
_atom_site_fract_y
_atom_site_fract_z
_atom_site_occupancy
Pm1 Pm 0.0000 0.0000 0.0641 1
Ag1 Ag 0.0000 0.0000 0.3460 1
Br1 Br 0.0000 0.0000 0.2185 1
```

Raw formation energy, eV/atom: -0.8540


DFT (PBE-GGA) results for an optimized crystal structure of Ac2NpCu2Se6.

Geometry as CIF:
```
data_Ac2NpCu2Se6
_chemical_formula_sum 'Ac6 Np3 Cu6 Se18'
_symmetry_space_group_name_H-M 'R -3 m'
_symmetry_Int_Tables_number 166
_symmetry_space_group_name_Hall '-R 3 2"'
_cell_length_a 7.4992
_cell_length_b 7.4992
_cell_length_c 20.5044
_cell_angle_alpha 90.00
_cell_angle_beta 90.00
_cell_angle_gamma 120.00
loop_
_atom_site_label
_atom_site_type_symbol
_atom_site_fract_x
_atom_site_fract_y
_atom_site_fract_z
_atom_site_occupancy
Ac1 Ac 0.0000 0.0000 0.2064 1
Np1 Np 0.0000 0.0000 0.0000 1
Cu1 Cu 0.0000 0.0000 0.4337 1
Se1 Se 0.0210 0.5105 0.7604 1
```

Raw formation energy, eV/atom: -0.9643


DFT (PBE-GGA) results for an optimized crystal structure of Ho3Sn3Pd2.

Geometry as CIF:
```
data_Ho3Sn3Pd2
_chemical_formula_sum 'Ho12 Sn12 Pd8'
_symmetry_space_group_name_H-M 'P n m a'
_symmetry_Int_Tables_number 62
_cell_length_a 8.403
_cell_length_b 15.292
_cell_length_c 5.890
_cell_angle_alpha 90.00
_cell_angle_beta 90.00
_cell_angle_gamma 90.00
loop_
_symmetry_equiv_pos_as_xyz
'x,y,z'
'-x,-y,-z'
'-x+1/2,-y,z+1/2'
'x+1/2,y,-z+1/2'
'x+1/2,-y+1/2,-z+1/2'
'-x+1/2,y+1/2,z+1/2'
'-x,y+1/2,-z'
'x,-y+1/2,z'
loop_
_atom_site_label
_atom_site_type_symbol
_atom_site_fract_x
_atom_site_fract_y
_atom_site_fract_z
_atom_site_occupancy
Ho1 Ho 0.032 0.112 0.124 1
Ho2 Ho 0.174 0.250 0.636 1
Sn1 Sn 0.187 0.750 0.631 1
Sn2 Sn 0.200 0.037 0.601 1
Pd1 Pd 0.084 0.613 0.373 1
```

Energy of formation, eV per atom: -0.824


DFT (PBE-GGA) results for an optimized crystal structure of Pr6CuRh2Br3.

Geometry as CIF:
```
data_Pr6CuRh2Br3
_chemical_formula_sum 'Pr12 Cu2 Rh4 Br6'
_symmetry_space_group_name_H-M 'C 1 2/m 1'
_symmetry_Int_Tables_number 12
_cell_length_a 7.251
_cell_length_b 12.555
_cell_length_c 8.215
_cell_angle_alpha 90.00
_cell_angle_beta 107.12
_cell_angle_gamma 90.00
loop_
_symmetry_equiv_pos_as_xyz
'x,y,z'
'-x,-y,-z'
'-x,y,-z'
'x,-y,z'
'x+1/2,y+1/2,z'
'-x+1/2,-y+1/2,-z'
'-x+1/2,y+1/2,-z'
'x+1/2,-y+1/2,z'
loop_
_atom_site_label
_atom_site_type_symbol
_atom_site_fract_x
_atom_site_fract_y
_atom_site_fract_z
_atom_site_occupancy
Pr1 Pr 0.225 0.000 0.198 1
Pr2 Pr 0.236 0.329 0.198 1
Cu1 Cu 0.000 0.500 0.000 1
Rh1 Rh 0.000 0.167 0.000 1
Br1 Br 0.000 0.000 0.500 1
Br2 Br 0.000 0.333 0.500 1
```

Raw formation energy, eV/atom: -0.9261


DFT (PBE-GGA) results for an optimized crystal structure of CuRhCl2.

Geometry as CIF:
```
data_CuRhCl2
_chemical_formula_sum 'Cu2 Rh2 Cl4'
_symmetry_space_group_name_H-M 'A m m 2'
_symmetry_Int_Tables_number 38
_cell_length_a 3.550
_cell_length_b 4.861
_cell_length_c 8.366
_cell_angle_alpha 90.00
_cell_angle_beta 90.00
_cell_angle_gamma 90.00
loop_
_symmetry_equiv_pos_as_xyz
'x,y,z'
'-x,-y,z'
'-x,y,z'
'x,-y,z'
'x,y+1/2,z+1/2'
'-x,-y+1/2,z+1/2'
'-x,y+1/2,z+1/2'
'x,-y+1/2,z+1/2'
loop_
_atom_site_label
_atom_site_type_symbol
_atom_site_fract_x
_atom_site_fract_y
_atom_site_fract_z
_atom_site_occupancy
Cu1 Cu 0.000 0.000 0.000 1
Rh1 Rh 0.500 0.000 0.224 1
Cl1 Cl 0.000 0.000 0.413 1
Cl2 Cl 0.500 0.000 0.770 1
```

Excess energy over the best structure of this formula in the dataset, eV/atom: 0.199
Raw formation energy, eV/atom: 0.0199


DFT (PBE-GGA) results for an optimized crystal structure of Ho2CdRh.

Geometry as CIF:
```
data_Ho2CdRh
_chemical_formula_sum 'Ho6 Cd3 Rh3'
_symmetry_space_group_name_H-M 'R 3 m'
_symmetry_Int_Tables_number 160
_symmetry_space_group_name_Hall 'R 3 -2"'
_cell_length_a 3.9596
_cell_length_b 3.9596
_cell_length_c 23.3613
_cell_angle_alpha 90.00
_cell_angle_beta 90.00
_cell_angle_gamma 120.00
loop_
_atom_site_label
_atom_site_type_symbol
_atom_site_fract_x
_atom_site_fract_y
_atom_site_fract_z
_atom_site_occupancy
Ho1 Ho 0.0000 0.0000 0.0000 1
Ho2 Ho 0.0000 0.0000 0.2033 1
Cd1 Cd 0.0000 0.0000 0.4358 1
Rh1 Rh 0.0000 0.0000 0.6005 1
```

Excess energy over the best structure of this formula in the dataset, eV/atom: 0.152
Energy of formation, eV per atom: -0.480


DFT (PBE-GGA) results for an optimized crystal structure of Ac5ErSe6.

Geometry as CIF:
```
data_Ac5ErSe6
_chemical_formula_sum 'Ac10 Er2 Se12'
_symmetry_space_group_name_H-M 'C 1 2/m 1'
_symmetry_Int_Tables_number 12
_cell_length_a 7.613
_cell_length_b 13.213
_cell_length_c 7.624
_cell_angle_alpha 90.00
_cell_angle_beta 109.72
_cell_angle_gamma 90.00
loop_
_symmetry_equiv_pos_as_xyz
'x,y,z'
'-x,-y,-z'
'-x,y,-z'
'x,-y,z'
'x+1/2,y+1/2,z'
'-x+1/2,-y+1/2,-z'
'-x+1/2,y+1/2,-z'
'x+1/2,-y+1/2,z'
loop_
_atom_site_label
_atom_site_type_symbol
_atom_site_fract_x
_atom_site_fract_y
_atom_site_fract_z
_atom_site_occupancy
Ac1 Ac 0.000 0.000 0.000 1
Ac2 Ac 0.000 0.165 0.500 1
Ac3 Ac 0.000 0.326 0.000 1
Er1 Er 0.000 0.500 0.500 1
Se1 Se 0.232 0.500 0.256 1
Se2 Se 0.234 0.343 0.734 1
```

Raw formation energy, eV/atom: -1.8186


DFT (PBE-GGA) results for an optimized crystal structure of FeNiHg2.

Geometry as CIF:
```
data_FeNiHg2
_chemical_formula_sum 'Fe1 Ni1 Hg2'
_symmetry_space_group_name_H-M 'P 4/m m m'
_symmetry_Int_Tables_number 123
_symmetry_space_group_name_Hall '-P 4 2'
_cell_length_a 4.663
_cell_length_b 4.663
_cell_length_c 2.997
_cell_angle_alpha 90.00
_cell_angle_beta 90.00
_cell_angle_gamma 90.00
loop_
_atom_site_label
_atom_site_type_symbol
_atom_site_fract_x
_atom_site_fract_y
_atom_site_fract_z
_atom_site_occupancy
Fe1 Fe 0.000 0.000 0.000 1
Ni1 Ni 0.500 0.500 0.000 1
Hg1 Hg 0.000 0.500 0.500 1
```

Excess energy over the best structure of this formula in the dataset, eV/atom: 0.139
Energy of formation, eV per atom: 0.391


DFT (PBE-GGA) results for an optimized crystal structure of Ba3HfB.

Geometry as CIF:
```
data_Ba3HfB
_chemical_formula_sum 'Ba3 Hf1 B1'
_symmetry_space_group_name_H-M 'P m -3 m'
_symmetry_Int_Tables_number 221
_symmetry_space_group_name_Hall '-P 4 2 3'
_cell_length_a 5.885
_cell_length_b 5.885
_cell_length_c 5.885
_cell_angle_alpha 90.00
_cell_angle_beta 90.00
_cell_angle_gamma 90.00
loop_
_atom_site_label
_atom_site_type_symbol
_atom_site_fract_x
_atom_site_fract_y
_atom_site_fract_z
_atom_site_occupancy
Ba1 Ba 0.000 0.000 0.500 1
Hf1 Hf 0.500 0.500 0.500 1
B1 B 0.000 0.000 0.000 1
```

Energy of formation, eV per atom: 1.018


DFT (PBE-GGA) results for an optimized crystal structure of ScCr2Ge2.

Geometry as CIF:
```
data_ScCr2Ge2
_chemical_formula_sum 'Sc2 Cr4 Ge4'
_symmetry_space_group_name_H-M 'P 4/m b m'
_symmetry_Int_Tables_number 127
_symmetry_space_group_name_Hall '-P 4 2ab'
_cell_length_a 7.038
_cell_length_b 7.038
_cell_length_c 3.053
_cell_angle_alpha 90.00
_cell_angle_beta 90.00
_cell_angle_gamma 90.00
loop_
_atom_site_label
_atom_site_type_symbol
_atom_site_fract_x
_atom_site_fract_y
_atom_site_fract_z
_atom_site_occupancy
Sc1 Sc 0.000 0.000 0.000 1
Cr1 Cr 0.151 0.349 0.500 1
Ge1 Ge 0.141 0.641 0.000 1
```

Excess energy over the best structure of this formula in the dataset, eV/atom: 0.103
Energy of formation, eV per atom: -0.125


DFT (PBE-GGA) results for an optimized crystal structure of TmAg2Pd3.

Geometry as CIF:
```
data_TmAg2Pd3
_chemical_formula_sum 'Tm2 Ag4 Pd6'
_symmetry_space_group_name_H-M 'C m m m'
_symmetry_Int_Tables_number 65
_symmetry_space_group_name_Hall '-C 2 2'
_cell_length_a 4.224
_cell_length_b 12.737
_cell_length_c 3.900
_cell_angle_alpha 90.00
_cell_angle_beta 90.00
_cell_angle_gamma 90.00
loop_
_atom_site_label
_atom_site_type_symbol
_atom_site_fract_x
_atom_site_fract_y
_atom_site_fract_z
_atom_site_occupancy
Tm1 Tm 0.000 0.000 0.000 1
Ag1 Ag 0.000 0.330 0.000 1
Pd1 Pd 0.000 0.166 0.500 1
Pd2 Pd 0.000 0.500 0.500 1
```

Energy of formation, eV per atom: -0.531


DFT (PBE-GGA) results for an optimized crystal structure of Ce2NpAu.

Geometry as CIF:
```
data_Ce2NpAu
_chemical_formula_sum 'Ce2 Np1 Au1'
_symmetry_space_group_name_H-M 'P 4/m m m'
_symmetry_Int_Tables_number 123
_symmetry_space_group_name_Hall '-P 4 2'
_cell_length_a 5.400
_cell_length_b 5.400
_cell_length_c 3.187
_cell_angle_alpha 90.00
_cell_angle_beta 90.00
_cell_angle_gamma 90.00
loop_
_atom_site_label
_atom_site_type_symbol
_atom_site_fract_x
_atom_site_fract_y
_atom_site_fract_z
_atom_site_occupancy
Ce1 Ce 0.000 0.500 0.000 1
Np1 Np 0.000 0.000 0.500 1
Au1 Au 0.500 0.500 0.500 1
```

Excess energy over the best structure of this formula in the dataset, eV/atom: 0.000
Energy of formation, eV per atom: -0.143


DFT (PBE-GGA) results for an optimized crystal structure of Sb4Te7P.

Geometry as CIF:
```
data_Sb4Te7P
_chemical_formula_sum 'Sb4 Te7 P1'
_symmetry_space_group_name_H-M 'P -3 m 1'
_symmetry_Int_Tables_number 164
_symmetry_space_group_name_Hall '-P 3 2"'
_cell_length_a 4.3546
_cell_length_b 4.3546
_cell_length_c 23.4170
_cell_angle_alpha 90.00
_cell_angle_beta 90.00
_cell_angle_gamma 120.00
loop_
_atom_site_label
_atom_site_type_symbol
_atom_site_fract_x
_atom_site_fract_y
_atom_site_fract_z
_atom_site_occupancy
Sb1 Sb 0.3333 0.6667 0.1465 1
Sb2 Sb 0.3333 0.6667 0.4157 1
Te1 Te 0.0000 0.0000 0.2176 1
Te2 Te 0.0000 0.0000 0.5000 1
Te3 Te 0.3333 0.6667 0.6569 1
Te4 Te 0.3333 0.6667 0.9373 1
P1 P 0.0000 0.0000 0.0000 1
```

Raw formation energy, eV/atom: -0.0165


DFT (PBE-GGA) results for an optimized crystal structure of La2OsI.

Geometry as CIF:
```
data_La2OsI
_chemical_formula_sum 'La6 Os3 I3'
_symmetry_space_group_name_H-M 'R 3 m'
_symmetry_Int_Tables_number 160
_symmetry_space_group_name_Hall 'R 3 -2"'
_cell_length_a 4.2411
_cell_length_b 4.2411
_cell_length_c 24.7610
_cell_angle_alpha 90.00
_cell_angle_beta 90.00
_cell_angle_gamma 120.00
loop_
_atom_site_label
_atom_site_type_symbol
_atom_site_fract_x
_atom_site_fract_y
_atom_site_fract_z
_atom_site_occupancy
La1 La 0.0000 0.0000 0.0000 1
La2 La 0.0000 0.0000 0.2114 1
Os1 Os 0.0000 0.0000 0.6063 1
I1 I 0.0000 0.0000 0.4378 1
```

Excess energy over the best structure of this formula in the dataset, eV/atom: 0.020
Raw formation energy, eV/atom: -0.6468